No. 1
# Y3TaIr PBE relaxed
# **Formation energy**: 524 kJ/mol of formula units
# **Raw total energy**: -0.2548 hartree per atom
# **Space group**: Pm-3m
# **D(E_F)**: 3.61 states/eV per cell
# **Energy relative to the lowest polymorph listed for this composition**: 696 meV/atom
data_Y3TaIr
_chemical_formula_sum 'Y3 Ta1 Ir1'
_cell_length_a 5.255
_cell_length_b 5.255
_cell_length_c 5.255
_cell_angle_alpha 90.00
_cell_angle_beta 90.00
_cell_angle_gamma 90.00
_space_group_name_H-M_alt 'P 1'
_space_group_IT_number 1
_space_group_name_Hall 'P 1'
loop_
_atom_site_label
_atom_site_fract_x
_atom_site_fract_y
_atom_site_fract_z
Y1 0.000 0.000 0.500
Y2 0.000 0.500 0.000
Y3 0.500 0.000 0.000
Ir1 0.500 0.500 0.500
Ta1 0.000 0.000 0.000


No. 2
# CaAc7Pb4 PBE relaxed
# **Formation energy**: -161 kJ/mol of formula units
# **Raw total energy**: -0.1447 hartree per atom
# **Space group**: C2/m
# **D(E_F)**: 10.87 states/eV per cell
data_CaAc7Pb4
_chemical_formula_sum 'Ca1 Ac7 Pb4'
_cell_length_a 6.333
_cell_length_b 10.078
_cell_length_c 8.663
_cell_angle_alpha 75.80
_cell_angle_beta 68.56
_cell_angle_gamma 71.69
_space_group_name_H-M_alt 'P 1'
_space_group_IT_number 1
_space_group_name_Hall 'P 1'
loop_
_atom_site_label
_atom_site_fract_x
_atom_site_fract_y
_atom_site_fract_z
Pb1 0.563 0.246 0.628
Pb2 0.305 0.330 0.059
Pb3 0.695 0.670 0.941
Pb4 0.437 0.754 0.372
Ca1 0.000 0.000 0.000
Ac1 0.208 0.110 0.474
Ac2 0.059 0.617 0.265
Ac3 0.290 0.640 0.779
Ac4 0.710 0.360 0.221
Ac5 0.500 0.000 0.000
Ac6 0.792 0.890 0.526
Ac7 0.941 0.383 0.735


No. 3
# TaAgAs2 PBE relaxed
# **Formation energy**: 67 kJ/mol of formula units
# **Raw total energy**: -0.2142 hartree per atom
# **Space group**: I-4m2
# **D(E_F)**: 1.98 states/eV per cell
data_TaAgAs2
_chemical_formula_sum 'Ta1 Ag1 As2'
_cell_length_a 5.517
_cell_length_b 5.517
_cell_length_c 5.517
_cell_angle_alpha 139.25
_cell_angle_beta 139.25
_cell_angle_gamma 58.99
_space_group_name_H-M_alt 'P 1'
_space_group_IT_number 1
_space_group_name_Hall 'P 1'
loop_
_atom_site_label
_atom_site_fract_x
_atom_site_fract_y
_atom_site_fract_z
Ag1 0.750 0.250 0.500
As1 0.250 0.750 0.500
As2 0.000 0.000 0.000
Ta1 0.500 0.500 0.000


No. 4
# LiDyTmRu PBE relaxed
# **Formation energy**: -118 kJ/mol of formula units
# **Raw total energy**: -0.1974 hartree per atom
# **Space group**: F-43m
# **D(E_F)**: 2.93 states/eV per cell
data_LiDyTmRu
_chemical_formula_sum 'Li1 Dy1 Tm1 Ru1'
_cell_length_a 4.874
_cell_length_b 4.874
_cell_length_c 4.874
_cell_angle_alpha 60.00
_cell_angle_beta 60.00
_cell_angle_gamma 60.00
_space_group_name_H-M_alt 'P 1'
_space_group_IT_number 1
_space_group_name_Hall 'P 1'
loop_
_atom_site_label
_atom_site_fract_x
_atom_site_fract_y
_atom_site_fract_z
Dy1 0.500 0.500 0.500
Ru1 0.750 0.750 0.750
Li1 0.250 0.250 0.250
Tm1 0.000 0.000 0.000


No. 5
# BeVBRu2 PBE relaxed
# **Formation energy**: 46 kJ/mol of formula units
# **Raw total energy**: -0.2763 hartree per atom
# **Space group**: P4/mmm
# **D(E_F)**: 7.51 states/eV per cell
data_BeVBRu2
_chemical_formula_sum 'Be1 V1 B1 Ru2'
_cell_length_a 4.079
_cell_length_b 3.608
_cell_length_c 4.079
_cell_angle_alpha 90.00
_cell_angle_beta 90.00
_cell_angle_gamma 90.00
_space_group_name_H-M_alt 'P 1'
_space_group_IT_number 1
_space_group_name_Hall 'P 1'
loop_
_atom_site_label
_atom_site_fract_x
_atom_site_fract_y
_atom_site_fract_z
Ru1 0.500 0.000 0.000
Ru2 0.000 0.000 0.500
Be1 0.000 0.500 0.000
V1 0.500 0.500 0.500
B1 0.000 0.000 0.000


No. 6
# Ta4SnRu5 PBE relaxed
# **Formation energy**: -264 kJ/mol of formula units
# **Raw total energy**: -0.3694 hartree per atom
# **Space group**: P4/mmm
# **D(E_F)**: 11.95 states/eV per cell
data_Ta4SnRu5
_chemical_formula_sum 'Ta4 Sn1 Ru5'
_cell_length_a 3.237
_cell_length_b 3.237
_cell_length_c 15.460
_cell_angle_alpha 90.00
_cell_angle_beta 90.00
_cell_angle_gamma 90.00
_space_group_name_H-M_alt 'P 1'
_space_group_IT_number 1
_space_group_name_Hall 'P 1'
loop_
_atom_site_label
_atom_site_fract_x
_atom_site_fract_y
_atom_site_fract_z
Ta1 0.000 0.000 0.204
Ta2 0.000 0.000 0.796
Ta3 0.000 0.000 0.599
Ta4 0.000 0.000 0.401
Ru1 0.500 0.500 0.697
Ru2 0.500 0.500 0.895
Ru3 0.500 0.500 0.303
Ru4 0.500 0.500 0.500
Ru5 0.500 0.500 0.105
Sn1 0.000 0.000 0.000